[1]
A plane-wave DFT calculation with PBE was carried out for a geometry-optimized NbPt2 structure.

The structure belongs to space group Immm (No. 71); the cell edges are 2.8255, 3.9882 and 8.5366 Å and the angles 90.00°, 90.00° and 90.00°. Symmetry generates all atoms from Nb at (0.0000, 0.0000, 0.0000) and Pt at (0.0000, 0.0000, 0.3355).

For the energy of formation from the pure elements, the calculation gives -2.1 eV/f.u. Its crystal system is orthorhombic.

[2]
A plane-wave DFT calculation with PBE was carried out for a geometry-optimized Nb2Pt structure.

The structure belongs to space group Fd-3m (No. 227, origin choice 2); the cell edges are 11.5760, 11.5760 and 11.5760 Å and the angles 90.00°, 90.00° and 90.00°. Symmetry generates all atoms from Nb at (0.0000, 0.0000, 0.0000) and Pt at (0.1250, 0.1250, 0.1250).

For the energy of formation from the pure elements, the calculation gives 8.2 eV/f.u. Its crystal system is cubic.

[3]
A plane-wave DFT calculation with PBE was carried out for a geometry-optimized RbNbPt structure.

The structure belongs to space group F-43m (No. 216); the cell edges are 6.9917, 6.9917 and 6.9917 Å and the angles 90.00°, 90.00° and 90.00°. Symmetry generates all atoms from Rb at (0.0000, 0.0000, 0.0000), Nb at (0.2500, 0.2500, 0.7500) and Pt at (0.2500, 0.2500, 0.2500).

Its crystal system is cubic. The value obtained for the energy relative to the lowest polymorph listed for this composition is 0.898 eV/atom.

Total DFT energy (no corrections), respectively: -24.30, -18.08, -10.89 eV per formula unit.